No. 1
{"formula": "TaMn2W", "functional": "GGA-PBE", "state": "relaxed", "lattice_angstrom": [[2.7258, 0.0000, 0.0000], [0.0000, 4.3233, 0.0000], [-0.8960, 0.0000, 4.8418]], "species": ["Ta", "Mn", "Mn", "W"], "frac_coords": [[0.0000, 0.0000, 0.0000], [0.2579, 0.5000, 0.7824], [0.4925, 0.0000, 0.5058], [0.7431, 0.5000, 0.2943]], "space_group": "Pm, No. 6", "dos_ef_per_ev_fu": 4.159, "vol_a3_per_atom": 14.3, "final_energy_ev_per_atom": -10.69, "ef_kj_per_mol_atoms": 10, "polymorph_energy_mev_per_atom": 157}

No. 2
{"formula": "TaMn2W", "functional": "GGA-PBE", "state": "relaxed", "lattice_angstrom": [[5.4260, 0.0000, 0.0000], [0.0000, 8.1815, 0.0000], [-0.8925, 0.0000, 2.5777]], "species": ["Ta", "Ta", "Mn", "Mn", "Mn", "Mn", "W", "W"], "frac_coords": [[0.0000, 0.0000, 0.0000], [0.5000, 0.5000, 0.0000], [0.2500, 0.2500, 0.5000], [0.2500, 0.7500, 0.5000], [0.7500, 0.2500, 0.5000], [0.7500, 0.7500, 0.5000], [0.0000, 0.5000, 0.0000], [0.5000, 0.0000, 0.0000]], "space_group": "C2/m, No. 12", "dos_ef_per_ev_fu": 4.281, "vol_a3_per_atom": 14.3, "final_energy_ev_per_atom": -10.69, "ef_kj_per_mol_atoms": 10, "polymorph_energy_mev_per_atom": 154}

No. 3
{"formula": "TaMnW2", "functional": "GGA-PBE", "state": "relaxed", "lattice_angstrom": [[3.1911, 0.0000, 0.0000], [0.0000, 4.4937, 0.0000], [0.0000, 0.0000, 8.6454]], "species": ["Ta", "Ta", "Mn", "Mn", "W", "W", "W", "W"], "frac_coords": [[0.0000, 0.0000, 0.0000], [0.5000, 0.5000, 0.0000], [0.0000, 0.5000, 0.2402], [0.5000, 0.0000, 0.2402], [0.0000, 0.0000, 0.4700], [0.0000, 0.5000, 0.7298], [0.5000, 0.0000, 0.7298], [0.5000, 0.5000, 0.4700]], "space_group": "Cmm2, No. 35", "dos_ef_per_ev_fu": 3.933, "vol_a3_per_atom": 15.5, "final_energy_ev_per_atom": -11.69, "ef_kj_per_mol_atoms": 4, "polymorph_energy_mev_per_atom": 66}

No. 4
{"formula": "TaMnW", "functional": "GGA-PBE", "state": "relaxed", "lattice_angstrom": [[4.3757, 0.0000, 0.0000], [-2.1879, 3.7895, 0.0000], [0.0000, 0.0000, 2.7484]], "species": ["Ta", "Mn", "W"], "frac_coords": [[0.0000, 0.0000, 0.0000], [0.3333, 0.6667, 0.6709], [0.6667, 0.3333, 0.3633]], "space_group": "P3m1, No. 156", "dos_ef_per_ev_fu": 2.093, "vol_a3_per_atom": 15.2, "final_energy_ev_per_atom": -11.23, "ef_kj_per_mol_atoms": 10, "polymorph_energy_mev_per_atom": 101}

No. 5
{"formula": "TaMn2W", "functional": "GGA-PBE", "state": "relaxed", "lattice_angstrom": [[2.7233, 0.0000, 0.0000], [0.0000, 4.0817, 0.0000], [-0.9668, 0.0000, 5.1546]], "species": ["Ta", "Mn", "Mn", "W"], "frac_coords": [[0.0000, 0.0000, 0.0000], [0.2538, 0.5000, 0.7408], [0.7462, 0.5000, 0.2592], [0.5000, 0.0000, 0.5000]], "space_group": "P2/m, No. 10", "dos_ef_per_ev_fu": 3.870, "vol_a3_per_atom": 14.3, "final_energy_ev_per_atom": -10.69, "ef_kj_per_mol_atoms": 9, "polymorph_energy_mev_per_atom": 150}

No. 6
{"formula": "TaMnW2", "functional": "GGA-PBE", "state": "relaxed", "lattice_angstrom": [[6.2652, 0.0000, 0.0000], [0.0000, 6.2652, 0.0000], [0.0000, 0.0000, 6.2652]], "species": ["Ta", "Ta", "Ta", "Ta", "Mn", "Mn", "Mn", "Mn", "W", "W", "W", "W", "W", "W", "W", "W"], "frac_coords": [[0.0000, 0.0000, 0.0000], [0.0000, 0.5000, 0.5000], [0.5000, 0.0000, 0.5000], [0.5000, 0.5000, 0.0000], [0.2500, 0.2500, 0.7500], [0.2500, 0.7500, 0.2500], [0.7500, 0.2500, 0.2500], [0.7500, 0.7500, 0.7500], [0.0000, 0.0000, 0.5000], [0.0000, 0.5000, 0.0000], [0.2500, 0.2500, 0.2500], [0.2500, 0.7500, 0.7500], [0.5000, 0.0000, 0.0000], [0.5000, 0.5000, 0.5000], [0.7500, 0.2500, 0.7500], [0.7500, 0.7500, 0.2500]], "space_group": "F-43m, No. 216", "dos_ef_per_ev_fu": 3.005, "vol_a3_per_atom": 15.4, "final_energy_ev_per_atom": -11.75, "ef_kj_per_mol_atoms": -2, "polymorph_energy_mev_per_atom": 7}

No. 7
{"formula": "TaMn2W", "functional": "GGA-PBE", "state": "relaxed", "lattice_angstrom": [[6.1236, 0.0000, 0.0000], [0.0000, 6.1236, 0.0000], [0.0000, 0.0000, 6.1236]], "species": ["Ta", "Ta", "Ta", "Ta", "Mn", "Mn", "Mn", "Mn", "Mn", "Mn", "Mn", "Mn", "W", "W", "W", "W"], "frac_coords": [[0.0000, 0.0000, 0.0000], [0.0000, 0.5000, 0.5000], [0.5000, 0.0000, 0.5000], [0.5000, 0.5000, 0.0000], [0.0000, 0.0000, 0.5000], [0.0000, 0.5000, 0.0000], [0.2500, 0.2500, 0.7500], [0.2500, 0.7500, 0.2500], [0.5000, 0.0000, 0.0000], [0.5000, 0.5000, 0.5000], [0.7500, 0.2500, 0.2500], [0.7500, 0.7500, 0.7500], [0.2500, 0.2500, 0.2500], [0.2500, 0.7500, 0.7500], [0.7500, 0.2500, 0.7500], [0.7500, 0.7500, 0.2500]], "space_group": "F-43m, No. 216", "dos_ef_per_ev_fu": 5.777, "vol_a3_per_atom": 14.4, "final_energy_ev_per_atom": -10.67, "ef_kj_per_mol_atoms": 11, "polymorph_energy_mev_per_atom": 174}

No. 8
{"formula": "TaMn4W", "functional": "GGA-PBE", "state": "relaxed", "lattice_angstrom": [[0.0000, 3.3730, 3.3730], [3.3730, 0.0000, 3.3730], [3.3730, 3.3730, 0.0000]], "species": ["Ta", "Mn", "Mn", "Mn", "Mn", "W"], "frac_coords": [[0.0000, 0.0000, 0.0000], [0.1227, 0.6258, 0.6258], [0.6258, 0.1227, 0.6258], [0.6258, 0.6258, 0.1227], [0.6258, 0.6258, 0.6258], [0.2500, 0.2500, 0.2500]], "space_group": "F-43m, No. 216", "dos_ef_per_ev_fu": 9.061, "vol_a3_per_atom": 12.8, "final_energy_ev_per_atom": -10.37, "ef_kj_per_mol_atoms": -12}

No. 9
{"formula": "TaMnW", "functional": "GGA-PBE", "state": "relaxed", "lattice_angstrom": [[3.1952, 0.0000, 0.0000], [0.0000, 4.4794, 0.0000], [0.0000, 0.0000, 12.7930]], "species": ["Ta", "Ta", "Ta", "Ta", "Mn", "Mn", "Mn", "Mn", "W", "W", "W", "W"], "frac_coords": [[0.0000, 0.0000, 0.0000], [0.0000, 0.5000, 0.5000], [0.5000, 0.0000, 0.5000], [0.5000, 0.5000, 0.0000], [0.0000, 0.0000, 0.3374], [0.0000, 0.5000, 0.8374], [0.5000, 0.0000, 0.8374], [0.5000, 0.5000, 0.3374], [0.0000, 0.0000, 0.6823], [0.0000, 0.5000, 0.1823], [0.5000, 0.0000, 0.1823], [0.5000, 0.5000, 0.6823]], "space_group": "Fmm2, No. 42", "dos_ef_per_ev_fu": 2.192, "vol_a3_per_atom": 15.3, "final_energy_ev_per_atom": -11.27, "ef_kj_per_mol_atoms": 5, "polymorph_energy_mev_per_atom": 56}

No. 10
{"formula": "TaMnW2", "functional": "GGA-PBE", "state": "relaxed", "lattice_angstrom": [[2.7496, 0.0000, 0.0000], [0.0000, 4.4017, 0.0000], [-0.8917, 0.0000, 5.1274]], "species": ["Ta", "Mn", "W", "W"], "frac_coords": [[0.0000, 0.0000, 0.0000], [0.2481, 0.5000, 0.7578], [0.4928, 0.0000, 0.5069], [0.7391, 0.5000, 0.2624]], "space_group": "Pm, No. 6", "dos_ef_per_ev_fu": 2.614, "vol_a3_per_atom": 15.5, "final_energy_ev_per_atom": -11.68, "ef_kj_per_mol_atoms": 5, "polymorph_energy_mev_per_atom": 79}

No. 11
{"formula": "TaMnW2", "functional": "GGA-PBE", "state": "relaxed", "lattice_angstrom": [[2.9728, 0.0000, 0.0000], [-1.4864, 2.5745, 0.0000], [0.0000, 0.0000, 24.8953]], "species": ["Ta", "Ta", "Ta", "Mn", "Mn", "Mn", "W", "W", "W", "W", "W", "W"], "frac_coords": [[0.0000, 0.0000, 0.0000], [0.3333, 0.6667, 0.6667], [0.6667, 0.3333, 0.3333], [0.0000, 0.0000, 0.2533], [0.3333, 0.6667, 0.9200], [0.6667, 0.3333, 0.5866], [0.0000, 0.0000, 0.5098], [0.0000, 0.0000, 0.7573], [0.3333, 0.6667, 0.1765], [0.3333, 0.6667, 0.4240], [0.6667, 0.3333, 0.0907], [0.6667, 0.3333, 0.8431]], "space_group": "R3m, No. 160", "dos_ef_per_ev_fu": 4.572, "vol_a3_per_atom": 15.9, "final_energy_ev_per_atom": -11.36, "ef_kj_per_mol_atoms": 36, "polymorph_energy_mev_per_atom": 399}

No. 12
{"formula": "Ta3Mn4W", "functional": "GGA-PBE", "state": "relaxed", "lattice_angstrom": [[3.0436, 0.0000, 0.0000], [0.0000, 4.3112, 0.0000], [0.0000, 0.0000, 8.6100]], "species": ["Ta", "Ta", "Ta", "Mn", "Mn", "Mn", "Mn", "W"], "frac_coords": [[0.0000, 0.0000, 0.0000], [0.0000, 0.5000, 0.2518], [0.0000, 0.5000, 0.7482], [0.5000, 0.0000, 0.2548], [0.5000, 0.0000, 0.7452], [0.5000, 0.5000, 0.0000], [0.5000, 0.5000, 0.5000], [0.0000, 0.0000, 0.5000]], "space_group": "Pmmm, No. 47", "dos_ef_per_ev_fu": 2.142, "vol_a3_per_atom": 14.1, "final_energy_ev_per_atom": -10.81, "ef_kj_per_mol_atoms": -16}

No. 13
{"formula": "TaMnW", "functional": "GGA-PBE", "state": "relaxed", "lattice_angstrom": [[5.8924, 0.0000, 0.0000], [0.0000, 5.8924, 0.0000], [0.0000, 0.0000, 5.8924]], "species": ["Ta", "Ta", "Ta", "Ta", "Mn", "Mn", "Mn", "Mn", "W", "W", "W", "W"], "frac_coords": [[0.0000, 0.0000, 0.0000], [0.0000, 0.5000, 0.5000], [0.5000, 0.0000, 0.5000], [0.5000, 0.5000, 0.0000], [0.2500, 0.2500, 0.2500], [0.2500, 0.7500, 0.7500], [0.7500, 0.2500, 0.7500], [0.7500, 0.7500, 0.2500], [0.0000, 0.0000, 0.5000], [0.0000, 0.5000, 0.0000], [0.5000, 0.0000, 0.0000], [0.5000, 0.5000, 0.5000]], "space_group": "F-43m, No. 216", "dos_ef_per_ev_fu": 3.226, "vol_a3_per_atom": 17.0, "final_energy_ev_per_atom": -10.87, "ef_kj_per_mol_atoms": 44, "polymorph_energy_mev_per_atom": 461}

No. 14
{"formula": "TaMn2W", "functional": "GGA-PBE", "state": "relaxed", "lattice_angstrom": [[4.2974, 0.0000, 0.0000], [0.0000, 4.2974, 0.0000], [0.0000, 0.0000, 3.0109]], "species": ["Ta", "Mn", "Mn", "W"], "frac_coords": [[0.0000, 0.0000, 0.0000], [0.0000, 0.5000, 0.5000], [0.5000, 0.0000, 0.5000], [0.5000, 0.5000, 0.0000]], "space_group": "P4/mmm, No. 123", "dos_ef_per_ev_fu": 3.067, "vol_a3_per_atom": 13.9, "final_energy_ev_per_atom": -10.84, "ef_kj_per_mol_atoms": -5, "polymorph_energy_mev_per_atom": 2}